First-principles (PBEsol) data for a geometry-optimized Er3ReB7 structure, as listed in the Alexandria database.

For the density of states at the Fermi level, the calculation gives 0.42 states/eV per atom. As for the formation energy: -0.72 eV/atom.

```
data_Er3ReB7
_chemical_formula_sum 'Er12 Re4 B28'
_space_group_name_H-M_alt 'C m c m'
_space_group_IT_number 63
_space_group_name_Hall '-C 2c 2'
_cell_length_a 3.4716
_cell_length_b 15.5276
_cell_length_c 9.2402
_cell_angle_alpha 90.00
_cell_angle_beta 90.00
_cell_angle_gamma 90.00
loop_
_atom_site_label
_atom_site_fract_x
_atom_site_fract_y
_atom_site_fract_z
_atom_site_occupancy
Er1 0.0000 0.1056 0.0592 1
Er2 0.0000 0.2429 0.7500 1
Re1 0.0000 0.0526 0.7500 1
B1 0.0000 0.2726 0.0328 1
B2 0.0000 0.3673 0.1501 1
B3 0.0000 0.4543 0.7500 1
B4 0.0000 0.4802 0.0944 1
```

First-principles (PBEsol) data for a geometry-optimized ErReB4 structure, as listed in the Alexandria database.

For the density of states at the Fermi level, the calculation gives 0.28 states/eV per atom. As for the formation energy: -0.66 eV/atom.

```
data_ErReB4
_chemical_formula_sum 'Er4 Re4 B16'
_space_group_name_H-M_alt 'P b a m'
_space_group_IT_number 55
_space_group_name_Hall '-P 2 2ab'
_cell_length_a 5.9170
_cell_length_b 11.4441
_cell_length_c 3.5601
_cell_angle_alpha 90.00
_cell_angle_beta 90.00
_cell_angle_gamma 90.00
loop_
_atom_site_label
_atom_site_fract_x
_atom_site_fract_y
_atom_site_fract_z
_atom_site_occupancy
Er1 0.1275 0.1500 0.0000 1
Re1 0.1341 0.4123 0.0000 1
B1 0.0219 0.6930 0.5000 1
B2 0.1143 0.5478 0.5000 1
B3 0.1353 0.9685 0.5000 1
B4 0.2109 0.8148 0.5000 1
```